(1)
{"formula": "TbTmSb", "functional": "PBE-GGA", "state": "relaxed", "lattice_angstrom": [[-2.925, -2.904, 0.946], [4.640, -1.619, 9.376], [-3.264, 7.247, 2.703]], "species": ["Sb", "Sb", "Sb", "Sb", "Tm", "Tm", "Tm", "Tm", "Tb", "Tb", "Tb", "Tb"], "fractional_positions": [[0.383, 0.449, 0.765], [0.415, 0.832, 0.829], [0.585, 0.168, 0.171], [0.617, 0.551, 0.235], [0.241, 0.665, 0.483], [0.759, 0.335, 0.517], [0.806, 0.921, 0.611], [0.194, 0.079, 0.389], [0.967, 0.643, 0.935], [0.600, 0.854, 0.200], [0.400, 0.146, 0.800], [0.033, 0.357, 0.065]], "e_tot_ev_per_cell": -59.87, "n_ef_per_ev_atom": 1.212, "raw_formation_energy_ev_per_atom": -0.581, "sg": "C2/m (12)"}

---

(2)
{"formula": "CeErTlPd", "functional": "PBE-GGA", "state": "relaxed", "lattice_angstrom": [[-2.552, -4.251, -1.657], [-1.264, -3.777, 3.387], [-4.998, -0.739, 1.345]], "species": ["Pd", "Tl", "Ce", "Er"], "fractional_positions": [[0.500, 0.500, 0.500], [0.000, 0.000, 0.000], [0.250, 0.250, 0.250], [0.750, 0.750, 0.750]], "e_tot_ev_per_cell": -19.76, "formation_energy_ev_per_fu": -1.70, "n_ef_per_ev_atom": 1.903, "sg": "F-43m (216)"}

---

(3)
{"formula": "Sm5Y4Er", "functional": "PBE-GGA", "state": "relaxed", "lattice_angstrom": [[6.016, 0.000, 0.000], [3.008, 7.495, 0.000], [3.008, 0.000, 7.495]], "species": ["Y", "Y", "Y", "Y", "Sm", "Sm", "Sm", "Sm", "Sm", "Er"], "fractional_positions": [[0.446, 0.323, 0.677], [0.123, 0.323, 0.323], [0.769, 0.677, 0.677], [0.446, 0.677, 0.323], [0.142, 0.000, 0.624], [0.143, 0.624, 0.000], [0.766, 0.376, 0.000], [0.688, 0.000, 0.000], [0.766, 0.000, 0.376], [0.220, 0.000, 0.000]], "e_tot_ev_per_cell": -51.52, "formation_energy_ev_per_fu": 2.49, "n_ef_per_ev_atom": 1.465, "sg": "I4mm (107)"}